Compound: AsRu2I
Source: Alexandria
Functional: PBE
Structure: relaxed

Cell lengths 5.5213, 5.5213, 12.1058 Å; angles 90.00, 90.00, 90.00 degrees
With the nearest neighbours (Å) after each atom.
Space group I-42d (No. 122)
One atom of each set of equivalent atoms:
As1 0.0000 0.0000 0.0000  4 Ru 2.36
Ru1 0.2108 0.2500 0.1250  2 As 2.36, 2 I 2.60
I1 0.0000 0.0000 0.5000  4 Ru 2.60

**Total moment**: 0.00 μB/cell
**Crystal system**: tetragonal
**Energy relative to the elements, uncorrected**: 488 meV per atom
**Calculated volume**: 369.05 Å³/cell
**Calculated density**: 7.27 g/cm3
**N(E_F)**: 14.34 states/eV per cell